1.
A geometry-optimized LiYCo2 structure, computed with PBE-GGA.

Output
V = 16.88 Å³/atom
ΔH_f (0 K) = 2.17 eV per formula unit
Distance to the lowest polymorph of the same formula = 2.138 eV per formula unit
Crystal system = trigonal
Space group = No. 166
Uncorrected energy = -5.11 eV/atom
Total magnetization = 2.04 μB per formula unit

Cell lengths 7.8411, 7.8411, 7.8411 Å; angles 23.54, 23.54, 23.54 degrees
Atoms (fractional coordinates):
Li: 0.0000 0.0000 0.0000
Y: 0.5000 0.5000 0.5000
Co: 0.2563 0.2563 0.2563
Co: 0.7437 0.7437 0.7437

***

2.
A geometry-optimized SrCdPt2 structure, computed with PBE-GGA.

Output
V = 24.62 Å³/atom
ΔH_f (0 K) = -2.27 eV per formula unit
Crystal system = monoclinic
Space group = No. 12
Uncorrected energy = -4.24 eV/atom
Total magnetization = 0.00 μB per formula unit

Cell lengths 4.7076, 4.7076, 5.7961 Å; angles 113.77, 113.77, 60.00 degrees
Atoms (fractional coordinates):
Sr: 0.0000 0.0000 0.0000
Cd: 0.5000 0.5000 0.5000
Pt: 0.1939 0.1939 0.5820
Pt: 0.8061 0.8061 0.4180

***

3.
A geometry-optimized SrGeTe4 structure, computed with PBE-GGA.

Output
V = 36.34 Å³/atom
Crystal system = monoclinic
Space group = No. 13
Uncorrected energy = -3.65 eV/atom
Total magnetization = 0.00 μB per formula unit
ΔE_f (raw) = -0.503 eV per atom

Cell lengths 6.1593, 8.2741, 8.5688 Å; angles 90.00, 92.97, 90.00 degrees
Atoms (fractional coordinates):
Sr: 0.0000 0.2468 0.2500
Sr: 0.0000 0.7532 0.7500
Ge: 0.5000 0.2327 0.7500
Ge: 0.5000 0.7673 0.2500
Te: 0.2248 0.0715 0.5671
Te: 0.2248 0.9285 0.0671
Te: 0.2948 0.4357 0.9425
Te: 0.2948 0.5643 0.4425
Te: 0.7052 0.4357 0.5575
Te: 0.7052 0.5643 0.0575
Te: 0.7752 0.0715 0.9329
Te: 0.7752 0.9285 0.4329

***

4.
A geometry-optimized SbPdPb2 structure, computed with PBE-GGA.

Output
V = 25.36 Å³/atom
Crystal system = tetragonal
Space group = No. 123
Uncorrected energy = -4.25 eV/atom
Total magnetization = 0.00 μB per formula unit
ΔE_f (raw) = -0.072 eV per atom

Cell lengths 3.4845, 3.4845, 8.3545 Å; angles 90.00, 90.00, 90.00 degrees
Atoms (fractional coordinates):
Sb: 0.0000 0.0000 0.0000
Pd: 0.0000 0.0000 0.5000
Pb: 0.5000 0.5000 0.2940
Pb: 0.5000 0.5000 0.7060

***

5.
A geometry-optimized TmPuBiO2 structure, computed with PBE-GGA.

Output
V = 20.06 Å³/atom
Crystal system = tetragonal
Space group = No. 107
Uncorrected energy = -8.96 eV/atom
Total magnetization = 4.84 μB per formula unit
ΔE_f (raw) = -2.436 eV per atom

Cell lengths 7.1973, 7.1973, 7.1973 Å; angles 148.70, 148.70, 44.85 degrees
Atoms (fractional coordinates):
Tm: 0.0000 0.0000 0.0000
Pu: 0.6724 0.6724 0.0000
Bi: 0.3337 0.3337 0.0000
O: 0.0792 0.5792 0.5000
O: 0.5792 0.0792 0.5000

***

6.
A geometry-optimized Tm2TlSn structure, computed with PBE-GGA.

Output
V = 28.51 Å³/atom
ΔH_f (0 K) = -1.48 eV per formula unit
Crystal system = orthorhombic
Space group = No. 62
Uncorrected energy = -4.20 eV/atom
Total magnetization = 0.00 μB per formula unit

Cell lengths 8.7257, 3.5942, 14.5475 Å; angles 90.00, 90.00, 90.00 degrees
Atoms (fractional coordinates):
Tm: 0.1990 0.2500 0.0006
Tm: 0.2069 0.7500 0.7606
Tm: 0.2931 0.2500 0.2606
Tm: 0.3010 0.7500 0.5006
Tm: 0.6990 0.2500 0.4994
Tm: 0.7069 0.7500 0.7394
Tm: 0.7931 0.2500 0.2394
Tm: 0.8010 0.7500 0.9994
Tl: 0.0276 0.2500 0.4049
Tl: 0.4724 0.7500 0.9049
Tl: 0.5276 0.2500 0.0951
Tl: 0.9724 0.7500 0.5951
Sn: 0.0490 0.7500 0.1525
Sn: 0.4510 0.2500 0.6525
Sn: 0.5490 0.7500 0.3475
Sn: 0.9510 0.2500 0.8475

***

7.
A geometry-optimized CdOsPd2 structure, computed with PBE-GGA.

Output
V = 17.81 Å³/atom
ΔH_f (0 K) = 2.82 eV per formula unit
Crystal system = tetragonal
Space group = No. 122
Uncorrected energy = -4.93 eV/atom
Total magnetization = 1.18 μB per formula unit

Cell lengths 9.5313, 9.5313, 9.5313 Å; angles 156.06, 156.06, 34.12 degrees
Atoms (fractional coordinates):
Cd: 0.0000 0.0000 0.0000
Cd: 0.7500 0.2500 0.5000
Os: 0.2500 0.7500 0.5000
Os: 0.5000 0.5000 0.0000
Pd: 0.1426 0.6250 0.0176
Pd: 0.3750 0.3926 0.5176
Pd: 0.6074 0.1250 0.9824
Pd: 0.8750 0.8574 0.4824

***

8.
A geometry-optimized TaV5Mo4 structure, computed with PBE-GGA.

Output
V = 14.79 Å³/atom
ΔH_f (0 K) = -1.02 eV per formula unit
Distance to the lowest polymorph of the same formula = 0.000 eV per formula unit
Crystal system = tetragonal
Space group = No. 123
Uncorrected energy = -10.18 eV/atom
Total magnetization = 0.00 μB per formula unit

Cell lengths 3.0862, 3.0862, 15.5333 Å; angles 90.00, 90.00, 90.00 degrees
Atoms (fractional coordinates):
Ta: 0.0000 0.0000 0.0000
V: 0.5000 0.5000 0.1075
V: 0.5000 0.5000 0.3032
V: 0.5000 0.5000 0.5000
V: 0.5000 0.5000 0.6968
V: 0.5000 0.5000 0.8925
Mo: 0.0000 0.0000 0.2028
Mo: 0.0000 0.0000 0.4013
Mo: 0.0000 0.0000 0.5987
Mo: 0.0000 0.0000 0.7972